Material: ReHgW2
Method: DFT, PBE
State: relaxed

a = 4.973 Å, b = 4.973 Å, c = 4.870 Å
α = 77.23°, β = 77.23°, γ = 35.14°
Element x y z (fractional)
W  0.261  0.261  0.230
W  0.004  0.004  0.995
Re  0.737  0.737  0.775
Hg  0.498  0.498  0.500

Calculated formation energy   0.6117 eV per atom


Material: SmTlGe2Cl8
Method: DFT, PBE
State: relaxed

a = 6.915 Å, b = 6.354 Å, c = 9.120 Å
α = 88.76°, β = 86.14°, γ = 86.16°
Element x y z (fractional)
Sm  0.000  0.000  0.000
Cl  0.640  0.725  0.430
Cl  0.858  0.267  0.218
Cl  0.360  0.275  0.570
Cl  0.318  0.246  0.963
Cl  0.682  0.754  0.037
Cl  0.188  0.781  0.209
Cl  0.812  0.219  0.791
Cl  0.142  0.733  0.782
Ge  0.544  0.537  0.238
Ge  0.456  0.463  0.762
Tl  0.000  0.000  0.500

Raw formation energy   -1.311 eV/atom


Material: Be2FeSb
Method: DFT, PBE
State: relaxed

a = 3.716 Å, b = 3.716 Å, c = 3.549 Å
α = 90.00°, β = 90.00°, γ = 90.00°
Each line ends with the local moment (μB).
Element x y z (fractional)
Be  0.000  0.000  0.000  -0.01
Be  0.500  0.500  0.000  -0.01
Fe  0.500  0.000  0.500  0.76
Sb  0.000  0.500  0.500  -0.02

Raw formation energy   0.330 eV/atom


Material: BaScC2
Method: DFT, PBE
State: relaxed

a = 5.059 Å, b = 5.059 Å, c = 7.740 Å
α = 70.92°, β = 70.92°, γ = 90.00°
Element x y z (fractional)
C  0.268  0.625  0.250
C  0.482  0.125  0.250
C  0.375  0.518  0.750
C  0.875  0.732  0.750
Sc  0.500  0.500  0.000
Sc  0.250  0.750  0.500
Ba  0.750  0.250  0.500
Ba  0.000  0.000  0.000

Calculated formation energy   0.8867 eV per atom


Material: Li2NdAsPd2
Method: DFT, PBE
State: relaxed

a = 4.463 Å, b = 4.463 Å, c = 5.792 Å
α = 90.00°, β = 90.00°, γ = 90.00°
Element x y z (fractional)
Nd  0.000  0.000  0.500
Li  0.500  0.000  0.000
Li  0.000  0.500  0.000
Pd  0.500  0.500  0.267
Pd  0.500  0.500  0.733
As  0.000  0.000  0.000

Calculated formation energy   -0.4387 eV per atom


Material: PmSc3Al4
Method: DFT, PBE
State: relaxed

a = 5.168 Å, b = 6.553 Å, c = 9.856 Å
α = 90.00°, β = 90.00°, γ = 90.00°
Element x y z (fractional)
Al  0.869  0.227  0.250
Al  0.131  0.773  0.750
Al  0.500  0.227  0.500
Al  0.869  0.773  0.250
Al  0.500  0.773  0.500
Al  0.500  0.773  0.000
Al  0.131  0.227  0.750
Al  0.500  0.227  0.000
Pm  0.000  0.500  0.500
Pm  0.000  0.500  0.000
Sc  0.375  0.000  0.250
Sc  0.000  0.000  0.000
Sc  0.000  0.000  0.500
Sc  0.625  0.000  0.750
Sc  0.410  0.500  0.250
Sc  0.590  0.500  0.750

Calculated formation energy   -0.4094 eV per atom


Magnetic moment list, top to bottom, in Bohr magnetons per cell: 0.00 0.00 0.70 0.00 0.00 0.00
D(E_F) list, top to bottom, in states/eV/atom: 0.6685 0.0000 0.5542 0.5231 0.1756 0.5107